UMn2FeO6, optimized geometry, DFT PBE with a Hubbard U; total magnetic moment = 1.20 μB per atom; final energy = -8.13 eV per atom
1.0
-5.1717 -1.5322 0.0161
-2.2062 -1.9931 4.5332
-3.7971 3.1958 2.8209
U Mn Fe O
1 2 1 6
direct
0.3106 0.3098 0.0691
0.5093 0.5080 0.4725
0.0269 0.0228 0.9241
0.8159 0.8185 0.5486
0.6053 0.2476 0.2606
0.2402 0.8847 0.2637
0.8870 0.6093 0.2561
0.4228 0.7114 0.7370
0.7116 0.1325 0.7402
0.1319 0.4170 0.7434

Mn2VFeO, optimized geometry, DFT PBE with a Hubbard U; total magnetic moment = 2.19 μB per atom; final energy = -6.00 eV per atom
1.0
5.3154 0.0000 0.0000
0.0000 3.6397 0.0000
0.0000 0.0000 5.3154
Mn Fe O V
2 1 1 1
direct
0.0000 0.0000 0.5000
0.5000 0.0000 0.0000
0.5000 0.5000 0.5000
0.0000 0.5000 0.0000
0.0000 0.0000 0.0000

MnVFe2O6, optimized geometry, DFT PBE with a Hubbard U; total magnetic moment = 0.99 μB per atom; final energy = -7.06 eV per atom
1.0
5.0518 0.0822 0.0013
2.5956 4.4799 0.0761
2.5492 1.6025 4.6754
Mn V Fe O
1 1 2 6
direct
0.8033 0.8143 0.5664
0.3160 0.3179 0.0431
0.5288 0.5209 0.4311
0.0141 0.0152 0.9642
0.6159 0.1928 0.2498
0.2089 0.9327 0.2454
0.9623 0.5973 0.2170
0.4090 0.7331 0.7624
0.7088 0.1270 0.7696
0.0944 0.4103 0.7661

MnV4FeO12, optimized geometry, DFT PBE with a Hubbard U; total magnetic moment = 0.50 μB per atom; final energy = -7.52 eV per atom
1.0
6.9194 -0.0211 -0.0088
0.6854 6.8854 -0.0088
1.5636 1.4113 5.5549
Mn V Fe O
1 4 1 12
direct
0.0892 0.9108 0.5000
0.7893 0.6132 0.0067
0.6149 0.7906 0.5038
0.3868 0.2107 0.9933
0.2094 0.3851 0.4962
0.9121 0.0879 0.0000
0.9576 0.8035 0.8959
0.9016 0.3854 0.0272
0.8068 0.9560 0.3867
0.6324 0.6502 0.7998
0.6146 0.0984 0.9728
0.6454 0.6312 0.3004
0.3498 0.3676 0.2002
0.3906 0.9096 0.5214
0.3688 0.3546 0.6996
0.1965 0.0424 0.1041
0.0904 0.6094 0.4786
0.0440 0.1932 0.6133

Mn3V6Fe4O24, optimized geometry, DFT PBE with a Hubbard U; total magnetic moment = 0.95 μB per atom; final energy = -7.41 eV per atom
1.0
-0.2835 -4.7305 -4.8661
-5.2571 -2.9450 5.7065
-4.4264 8.0831 -3.8325
Mn V Fe O
3 6 4 24
direct
0.7849 0.7997 0.2963
0.5000 0.0000 0.0000
0.2151 0.2003 0.7037
0.6056 0.5947 0.8331
0.8979 0.2337 0.3676
0.1021 0.7663 0.6324
0.7190 0.1577 0.7681
0.2810 0.8423 0.2319
0.3944 0.4053 0.1669
0.5447 0.7083 0.5188
0.1210 0.5444 0.8938
0.4553 0.2917 0.4812
0.8790 0.4556 0.1062
0.0301 0.7259 0.2292
0.0613 0.6309 0.7334
0.3212 0.0595 0.3153
0.9387 0.3691 0.2666
0.6337 0.8064 0.9154
0.1467 0.2427 0.4949
0.6788 0.9405 0.6847
0.9699 0.2741 0.7708
0.7141 0.2043 0.9520
0.5130 0.2169 0.6599
0.2637 0.7086 0.5342
0.4870 0.7831 0.3401
0.3707 0.4734 0.8486
0.7363 0.2914 0.4658
0.4272 0.4475 0.3572
0.6293 0.5266 0.1514
0.8533 0.7573 0.5051
0.2859 0.7957 0.0480
0.2401 0.9791 0.7617
0.3663 0.1936 0.0846
0.5728 0.5525 0.6428
0.8335 0.5381 0.9248
0.7599 0.0209 0.2383
0.1665 0.4619 0.0752

Mn2FeWO6, optimized geometry, DFT PBE with a Hubbard U; total magnetic moment = 1.40 μB per atom; final energy = -7.53 eV per atom
1.0
5.4257 -0.0043 0.0098
2.7109 4.6223 -0.0560
2.7159 1.4727 4.7258
Mn Fe W O
2 1 1 6
direct
0.5273 0.5332 0.4102
0.0278 0.0331 0.9075
0.8150 0.8097 0.5627
0.3175 0.3182 0.0442
0.5718 0.2157 0.2486
0.2145 0.9633 0.2520
0.9596 0.5782 0.2621
0.4281 0.6800 0.7751
0.6885 0.1047 0.7711
0.1114 0.4256 0.7817